#i
VASP calculation (GGA-PBE) on an optimized crystal structure of ScTlCdPb.

## Properties
Density (Mg/m³): 9.53
Volume (Å³ per atom): 24.77
DOS(E_F) (states/eV/f.u.): 2.0

a = 4.399 Å, b = 4.928 Å, c = 4.571 Å
α = 90.00°, β = 90.00°, γ = 90.00°
Atoms (fractional coordinates):
Cd 0.000 0.000 0.000
Tl 0.500 0.000 0.500
Sc 0.000 0.500 0.500
Pb 0.500 0.500 0.000

#ii
VASP calculation (GGA-PBE) on an optimized crystal structure of ScTlCdPb.

## Properties
Density (Mg/m³): 9.15
Volume (Å³ per atom): 25.82
DOS(E_F) (states/eV/f.u.): 3.3

a = 5.267 Å, b = 5.267 Å, c = 5.267 Å
α = 60.00°, β = 60.00°, γ = 60.00°
Atoms (fractional coordinates):
Pb 0.000 0.000 0.000
Sc 0.750 0.750 0.750
Cd 0.250 0.250 0.250
Tl 0.500 0.500 0.500

List of relative energies, unit meV/atom: #i 0; #ii 163

#i
VASP calculation (GGA-PBE) on an optimized crystal structure of Cd2PbSe.

## Properties
Density (Mg/m³): 8.22
Volume (Å³ per atom): 25.82
DOS(E_F) (states/eV/f.u.): 1.7

a = 5.724 Å, b = 5.724 Å, c = 5.724 Å
α = 131.40°, β = 131.40°, γ = 71.18°
Atoms (fractional coordinates):
Cd 0.250 0.750 0.500
Pb 0.500 0.500 0.000
Se 0.750 0.250 0.500
Cd 0.000 0.000 0.000

#ii
VASP calculation (GGA-PBE) on an optimized crystal structure of Cd2PbSe.

## Properties
Density (Mg/m³): 7.59
Volume (Å³ per atom): 27.96
DOS(E_F) (states/eV/f.u.): 1.2

a = 4.093 Å, b = 5.404 Å, c = 5.432 Å
α = 68.55°, β = 90.00°, γ = 90.00°
Atoms (fractional coordinates):
Pb 0.500 0.250 0.250
Se 0.500 0.750 0.750
Cd 0.000 0.972 0.973
Cd 0.000 0.528 0.527

#iii
VASP calculation (GGA-PBE) on an optimized crystal structure of Cd2PbSe.

## Properties
Density (Mg/m³): 7.95
Volume (Å³ per atom): 26.68
DOS(E_F) (states/eV/f.u.): 1.5

a = 8.061 Å, b = 8.061 Å, c = 8.061 Å
α = 28.69°, β = 28.69°, γ = 28.69°
Atoms (fractional coordinates):
Cd 0.511 0.511 0.511
Cd 0.989 0.989 0.989
Pb 0.750 0.750 0.750
Se 0.250 0.250 0.250

List of relative energies, unit meV/atom: #i 169; #ii 13; #iii 0

#i
VASP calculation (GGA-PBE) on an optimized crystal structure of Cd2PbSe.

## Properties
Density (Mg/m³): 7.82
Volume (Å³ per atom): 27.11
DOS(E_F) (states/eV/f.u.): 0.9

a = 6.638 Å, b = 6.638 Å, c = 6.638 Å
α = 142.34°, β = 142.34°, γ = 54.32°
Atoms (fractional coordinates):
Pb 0.250 0.750 0.500
Cd 0.500 0.500 0.000
Cd 0.000 0.000 0.000
Se 0.750 0.250 0.500

#ii
VASP calculation (GGA-PBE) on an optimized crystal structure of Cd2PbSe.

## Properties
Density (Mg/m³): 8.27
Volume (Å³ per atom): 25.66
DOS(E_F) (states/eV/f.u.): 4.5

a = 5.256 Å, b = 5.256 Å, c = 5.256 Å
α = 60.00°, β = 60.00°, γ = 60.00°
Atoms (fractional coordinates):
Cd 0.250 0.250 0.250
Cd 0.750 0.750 0.750
Se 0.000 0.000 0.000
Pb 0.500 0.500 0.500

List of relative energies, unit meV/atom: #i 0; #ii 235

#i
VASP calculation (GGA-PBE) on an optimized crystal structure of Cd2PbSe.

## Properties
Density (Mg/m³): 6.33
Volume (Å³ per atom): 33.53
DOS(E_F) (states/eV/f.u.): 0.0

a = 7.019 Å, b = 7.019 Å, c = 7.367 Å
α = 61.55°, β = 61.55°, γ = 90.00°
Atoms (fractional coordinates):
Pb 0.000 0.000 0.000
Cd 0.593 0.125 0.250
Cd 0.375 0.407 0.750
Se 0.250 0.750 0.500
Cd 0.875 0.843 0.750
Se 0.500 0.500 0.000
Cd 0.157 0.625 0.250
Pb 0.750 0.250 0.500

#ii
VASP calculation (GGA-PBE) on an optimized crystal structure of Cd2PbSe.

## Properties
Density (Mg/m³): 8.07
Volume (Å³ per atom): 26.28
DOS(E_F) (states/eV/f.u.): 1.0

a = 3.822 Å, b = 3.826 Å, c = 8.100 Å
α = 62.57°, β = 90.00°, γ = 90.00°
Atoms (fractional coordinates):
Cd 0.500 0.278 0.224
Cd 0.000 0.020 0.977
Se 0.500 0.658 0.835
Pb 0.000 0.545 0.464

List of relative energies, unit meV/atom: #i 63; #ii 0